A relaxed structure of NaY2Cr, computed with GGA-PBE.

Calculated values
The energy above the most stable polymorph in this dataset is 0.0 kJ/mol of atoms. The total energy is -5.27 eV/atom.

```
NaY2Cr
1.0
8.2926 0.0000 0.0000
0.0000 8.2926 0.0000
0.0000 0.0000 6.5909
Na Y Cr
4 8 4
Direct
0.0000 0.0000 0.0000
0.0000 0.5000 0.2500
0.5000 0.0000 0.7500
0.5000 0.5000 0.5000
0.2190 0.2500 0.6250
0.2500 0.7190 0.8750
0.2500 0.7810 0.3750
0.2810 0.2500 0.1250
0.7190 0.7500 0.1250
0.7500 0.2190 0.3750
0.7500 0.2810 0.8750
0.7810 0.7500 0.6250
0.0000 0.0000 0.5000
0.0000 0.5000 0.7500
0.5000 0.0000 0.2500
0.5000 0.5000 0.0000
```

A relaxed structure of NaZn2Cr, computed with GGA-PBE.

Calculated values
The energy above the most stable polymorph in this dataset is 0.0 kJ/mol of atoms. The total energy is -3.02 eV/atom.

```
NaZn2Cr
1.0
6.5511 0.0000 0.0000
0.0000 6.5511 0.0000
0.0000 0.0000 6.5511
Na Zn Cr
4 8 4
Direct
0.0000 0.0000 0.0000
0.0000 0.5000 0.5000
0.5000 0.0000 0.5000
0.5000 0.5000 0.0000
0.2500 0.2500 0.2500
0.2500 0.2500 0.7500
0.2500 0.7500 0.2500
0.2500 0.7500 0.7500
0.7500 0.2500 0.2500
0.7500 0.2500 0.7500
0.7500 0.7500 0.2500
0.7500 0.7500 0.7500
0.0000 0.0000 0.5000
0.0000 0.5000 0.0000
0.5000 0.0000 0.0000
0.5000 0.5000 0.5000
```

A relaxed structure of NaZn3Cr, computed with GGA-PBE.

Calculated values
The total energy is -2.49 eV/atom.

```
NaZn3Cr
1.0
4.9489 0.0000 0.0000
0.0000 4.9489 0.0000
0.0000 0.0000 4.9489
Na Zn Cr
1 3 1
Direct
0.0000 0.0000 0.0000
0.0000 0.5000 0.5000
0.5000 0.0000 0.5000
0.5000 0.5000 0.0000
0.5000 0.5000 0.5000
```

A relaxed structure of Na3ZnCr, computed with GGA-PBE.

Calculated values
The energy above the most stable polymorph in this dataset is 0.0 kJ/mol of atoms. The total energy is -2.25 eV/atom.

```
Na3ZnCr
1.0
5.5072 0.0000 0.0000
0.0000 5.5072 0.0000
0.0000 0.0000 5.5072
Na Zn Cr
3 1 1
Direct
0.0000 0.0000 0.5000
0.0000 0.5000 0.0000
0.5000 0.0000 0.0000
0.0000 0.0000 0.0000
0.5000 0.5000 0.5000
```

A relaxed structure of NaZnCr3, computed with GGA-PBE.

Calculated values
The energy above the most stable polymorph in this dataset is 0.0 kJ/mol of atoms. The total energy is -5.10 eV/atom.

```
NaZnCr3
1.0
4.9141 0.0000 0.0000
0.0000 4.9141 0.0000
0.0000 0.0000 4.9141
Na Zn Cr
1 1 3
Direct
0.0000 0.0000 0.0000
0.5000 0.5000 0.5000
0.0000 0.5000 0.5000
0.5000 0.0000 0.5000
0.5000 0.5000 0.0000
```

A relaxed structure of NaZnCr3, computed with GGA-PBE.

Calculated values
The energy above the most stable polymorph in this dataset is 69.8 kJ/mol of atoms. The total energy is -4.38 eV/atom.

```
NaZnCr3
1.0
4.9798 0.0000 0.0000
0.0000 4.9798 0.0000
0.0000 0.0000 4.9798
Na Zn Cr
1 1 3
Direct
0.0000 0.0000 0.0000
0.5000 0.5000 0.5000
0.0000 0.0000 0.5000
0.0000 0.5000 0.0000
0.5000 0.0000 0.0000
```

no.,total moment (μB/cell),DFT formation energy (eV/atom)
1,11.9,0.699
2,15.4,0.358
3,3.9,0.462
4,5.1,0.725
5,13.0,1.194
6,13.8,1.917